a) The following is a DFT calculation (PBE) of a relaxed Ag2SnPd6 crystal.

Values from the calculation:
**Space-group type**: No. 12

CIF file:
```
data_Ag2SnPd6
_chemical_formula_sum 'Ag2 Sn1 Pd6'
_space_group_name_H-M_alt 'P 1'
_space_group_IT_number 1
_cell_length_a 4.4741
_cell_length_b 4.4741
_cell_length_c 8.3231
_cell_angle_alpha 95.74
_cell_angle_beta 95.74
_cell_angle_gamma 63.79
loop_
_space_group_symop_operation_xyz
'x,y,z'
loop_
_atom_site_label
_atom_site_type_symbol
_atom_site_fract_x
_atom_site_fract_y
_atom_site_fract_z
Ag1 Ag 0.1672 0.1672 0.4395
Ag2 Ag 0.8328 0.8328 0.5605
Sn1 Sn 0.5000 0.5000 0.0000
Pd1 Pd 0.1669 0.1669 0.7717
Pd2 Pd 0.1678 0.1678 0.1043
Pd3 Pd 0.4991 0.4991 0.3273
Pd4 Pd 0.5009 0.5009 0.6727
Pd5 Pd 0.8322 0.8322 0.8957
Pd6 Pd 0.8331 0.8331 0.2283
```


b) The following is a DFT calculation (PBE) of a relaxed Ag2SnPd6 crystal.

Values from the calculation:
**Space-group type**: No. 12

CIF file:
```
data_Ag2SnPd6
_chemical_formula_sum 'Ag2 Sn1 Pd6'
_space_group_name_H-M_alt 'P 1'
_space_group_IT_number 1
_cell_length_a 7.9793
_cell_length_b 7.9793
_cell_length_c 2.8919
_cell_angle_alpha 90.12
_cell_angle_beta 90.12
_cell_angle_gamma 56.96
loop_
_space_group_symop_operation_xyz
'x,y,z'
loop_
_atom_site_label
_atom_site_type_symbol
_atom_site_fract_x
_atom_site_fract_y
_atom_site_fract_z
Ag1 Ag 0.1846 0.1846 0.4994
Ag2 Ag 0.8154 0.8154 0.5006
Sn1 Sn 0.5000 0.5000 0.0000
Pd1 Pd 0.1562 0.5210 0.0002
Pd2 Pd 0.1845 0.8155 0.5000
Pd3 Pd 0.4790 0.8438 0.9998
Pd4 Pd 0.5210 0.1562 0.0002
Pd5 Pd 0.8155 0.1845 0.5000
Pd6 Pd 0.8438 0.4790 0.9998
```


Stability, highest: a)


a) The following is a DFT calculation (PBE) of a relaxed Ag3SnPd6 crystal.

Values from the calculation:
**Space-group type**: No. 11

CIF file:
```
data_Ag3SnPd6
_chemical_formula_sum 'Ag6 Sn2 Pd12'
_space_group_name_H-M_alt 'P 1'
_space_group_IT_number 1
_cell_length_a 8.7572
_cell_length_b 4.1527
_cell_length_c 9.1722
_cell_angle_alpha 90.00
_cell_angle_beta 93.94
_cell_angle_gamma 90.00
loop_
_space_group_symop_operation_xyz
'x,y,z'
loop_
_atom_site_label
_atom_site_type_symbol
_atom_site_fract_x
_atom_site_fract_y
_atom_site_fract_z
Ag1 Ag 0.0536 0.2500 0.4022
Ag2 Ag 0.1570 0.7500 0.2029
Ag3 Ag 0.2496 0.2500 0.0055
Ag4 Ag 0.7504 0.7500 0.9945
Ag5 Ag 0.8430 0.2500 0.7971
Ag6 Ag 0.9464 0.7500 0.5978
Sn1 Sn 0.4319 0.2500 0.6270
Sn2 Sn 0.5681 0.7500 0.3730
Pd1 Pd 0.0476 0.7500 0.9007
Pd2 Pd 0.1430 0.2500 0.7041
Pd3 Pd 0.2655 0.7500 0.5041
Pd4 Pd 0.3414 0.7500 0.8097
Pd5 Pd 0.3676 0.2500 0.3157
Pd6 Pd 0.4532 0.7500 0.0974
Pd7 Pd 0.5468 0.2500 0.9026
Pd8 Pd 0.6324 0.7500 0.6843
Pd9 Pd 0.6586 0.2500 0.1903
Pd10 Pd 0.7345 0.2500 0.4959
Pd11 Pd 0.8570 0.7500 0.2959
Pd12 Pd 0.9524 0.2500 0.0993
```


b) The following is a DFT calculation (PBE) of a relaxed Ag3SnPd6 crystal.

Values from the calculation:
**Space-group type**: No. 14

CIF file:
```
data_Ag3SnPd6
_chemical_formula_sum 'Ag6 Sn2 Pd12'
_space_group_name_H-M_alt 'P 1'
_space_group_IT_number 1
_cell_length_a 7.0376
_cell_length_b 6.8995
_cell_length_c 10.1104
_cell_angle_alpha 90.00
_cell_angle_beta 133.82
_cell_angle_gamma 90.00
loop_
_space_group_symop_operation_xyz
'x,y,z'
loop_
_atom_site_label
_atom_site_type_symbol
_atom_site_fract_x
_atom_site_fract_y
_atom_site_fract_z
Ag1 Ag 0.0000 0.0000 0.0000
Ag2 Ag 0.0000 0.5000 0.5000
Ag3 Ag 0.1676 0.1890 0.7433
Ag4 Ag 0.1676 0.3110 0.2433
Ag5 Ag 0.8324 0.6890 0.7567
Ag6 Ag 0.8324 0.8110 0.2567
Sn1 Sn 0.5000 0.0000 0.5000
Sn2 Sn 0.5000 0.5000 0.0000
Pd1 Pd 0.1001 0.1328 0.4480
Pd2 Pd 0.1001 0.3672 0.9480
Pd3 Pd 0.3136 0.6428 0.4467
Pd4 Pd 0.3136 0.8572 0.9467
Pd5 Pd 0.4549 0.6295 0.2448
Pd6 Pd 0.4549 0.8705 0.7448
Pd7 Pd 0.5451 0.1295 0.2552
Pd8 Pd 0.5451 0.3705 0.7552
Pd9 Pd 0.6864 0.1428 0.0533
Pd10 Pd 0.6864 0.3572 0.5533
Pd11 Pd 0.8999 0.6328 0.0520
Pd12 Pd 0.8999 0.8672 0.5520
```


Stability, highest: a)


a) The following is a DFT calculation (PBE) of a relaxed AgSn4Pd crystal.

Values from the calculation:
**Space-group type**: No. 119

CIF file:
```
data_AgSn4Pd
_chemical_formula_sum 'Ag2 Sn8 Pd2'
_space_group_name_H-M_alt 'P 1'
_space_group_IT_number 1
_cell_length_a 5.6360
_cell_length_b 5.6360
_cell_length_c 8.9800
_cell_angle_alpha 90.00
_cell_angle_beta 90.00
_cell_angle_gamma 90.00
loop_
_space_group_symop_operation_xyz
'x,y,z'
loop_
_atom_site_label
_atom_site_type_symbol
_atom_site_fract_x
_atom_site_fract_y
_atom_site_fract_z
Ag1 Ag 0.0000 0.0000 0.0000
Ag2 Ag 0.5000 0.5000 0.5000
Sn1 Sn 0.0000 0.0000 0.3132
Sn2 Sn 0.0000 0.0000 0.6868
Sn3 Sn 0.0000 0.5000 0.0573
Sn4 Sn 0.0000 0.5000 0.4427
Sn5 Sn 0.5000 0.0000 0.5573
Sn6 Sn 0.5000 0.0000 0.9427
Sn7 Sn 0.5000 0.5000 0.1868
Sn8 Sn 0.5000 0.5000 0.8132
Pd1 Pd 0.0000 0.5000 0.7500
Pd2 Pd 0.5000 0.0000 0.2500
```


b) The following is a DFT calculation (PBE) of a relaxed AgSn4Pd crystal.

Values from the calculation:
**Space-group type**: No. 123

CIF file:
```
data_AgSn4Pd
_chemical_formula_sum 'Ag1 Sn4 Pd1'
_space_group_name_H-M_alt 'P 1'
_space_group_IT_number 1
_cell_length_a 4.6719
_cell_length_b 4.6719
_cell_length_c 6.7920
_cell_angle_alpha 90.00
_cell_angle_beta 90.00
_cell_angle_gamma 90.00
loop_
_space_group_symop_operation_xyz
'x,y,z'
loop_
_atom_site_label
_atom_site_type_symbol
_atom_site_fract_x
_atom_site_fract_y
_atom_site_fract_z
Ag1 Ag 0.0000 0.0000 0.0000
Sn1 Sn 0.0000 0.5000 0.2604
Sn2 Sn 0.0000 0.5000 0.7396
Sn3 Sn 0.5000 0.0000 0.2604
Sn4 Sn 0.5000 0.0000 0.7396
Pd1 Pd 0.5000 0.5000 0.5000
```


Stability, highest: b)


a) The following is a DFT calculation (PBE) of a relaxed AgSnPd6 crystal.

Values from the calculation:
**Space-group type**: No. 123

CIF file:
```
data_AgSnPd6
_chemical_formula_sum 'Ag1 Sn1 Pd6'
_space_group_name_H-M_alt 'P 1'
_space_group_IT_number 1
_cell_length_a 4.0582
_cell_length_b 4.0582
_cell_length_c 7.8785
_cell_angle_alpha 90.00
_cell_angle_beta 90.00
_cell_angle_gamma 90.00
loop_
_space_group_symop_operation_xyz
'x,y,z'
loop_
_atom_site_label
_atom_site_type_symbol
_atom_site_fract_x
_atom_site_fract_y
_atom_site_fract_z
Ag1 Ag 0.0000 0.0000 0.0000
Sn1 Sn 0.0000 0.0000 0.5000
Pd1 Pd 0.0000 0.5000 0.2519
Pd2 Pd 0.0000 0.5000 0.7481
Pd3 Pd 0.5000 0.0000 0.2519
Pd4 Pd 0.5000 0.0000 0.7481
Pd5 Pd 0.5000 0.5000 0.0000
Pd6 Pd 0.5000 0.5000 0.5000
```


b) The following is a DFT calculation (PBE) of a relaxed AgSnPd6 crystal.

Values from the calculation:
**Space-group type**: No. 2

CIF file:
```
data_AgSnPd6
_chemical_formula_sum 'Ag1 Sn1 Pd6'
_space_group_name_H-M_alt 'P 1'
_space_group_IT_number 1
_cell_length_a 5.1311
_cell_length_b 5.1443
_cell_length_c 5.1752
_cell_angle_alpha 94.05
_cell_angle_beta 94.66
_cell_angle_gamma 94.60
loop_
_space_group_symop_operation_xyz
'x,y,z'
loop_
_atom_site_label
_atom_site_type_symbol
_atom_site_fract_x
_atom_site_fract_y
_atom_site_fract_z
Ag1 Ag 0.0000 0.0000 0.0000
Sn1 Sn 0.5000 0.5000 0.5000
Pd1 Pd 0.0482 0.4565 0.7509
Pd2 Pd 0.2495 0.9478 0.5480
Pd3 Pd 0.4542 0.7499 0.0537
Pd4 Pd 0.5458 0.2501 0.9463
Pd5 Pd 0.7505 0.0522 0.4520
Pd6 Pd 0.9518 0.5435 0.2491
```


Stability, highest: a)